Entry a
{"formula": "LiSc5", "functional": "GGA-PBE", "state": "relaxed", "cell": [[0.0000, 4.2482, 4.2482], [4.2482, 0.0000, 4.2482], [4.2482, 4.2482, 0.0000]], "species": ["Li", "Sc", "Sc", "Sc", "Sc", "Sc"], "frac_coords": [[0.0000, 0.0000, 0.0000], [0.2500, 0.2500, 0.2500], [0.6233, 0.6233, 0.6233], [0.6233, 0.6233, 0.1302], [0.1302, 0.6233, 0.6233], [0.6233, 0.1302, 0.6233]], "m_tot_mub_per_fu": 0.00}

Entry b
{"formula": "LiSc5", "functional": "GGA-PBE", "state": "relaxed", "cell": [[5.9909, -0.0188, 0.1156], [5.0829, 3.1710, 0.1156], [2.1417, 0.6096, 7.4890]], "species": ["Li", "Sc", "Sc", "Sc", "Sc", "Sc"], "frac_coords": [[0.9956, 0.9956, 0.9838], [0.6695, 0.6695, 0.6637], [0.3507, 0.3507, 0.3225], [0.3809, 0.3809, 0.7246], [0.0676, 0.0676, 0.4067], [0.7024, 0.7024, 0.0653]], "m_tot_mub_per_fu": 0.00}

Computed relative energies in units of kJ/mol of atoms: entry a 24.7; entry b 0.0

Entry a
{"formula": "LiSc5", "functional": "GGA-PBE", "state": "relaxed", "cell": [[8.5968, 0.0053, 0.0000], [-7.9699, 3.2227, 0.0000], [0.0000, 0.0000, 5.1509]], "species": ["Li", "Sc", "Sc", "Sc", "Sc", "Sc"], "frac_coords": [[0.0000, 0.0000, 0.0000], [0.3310, 0.6690, 0.0000], [0.6660, 0.3340, 0.0000], [0.4469, 0.5531, 0.5000], [0.7776, 0.2224, 0.5000], [0.1119, 0.8881, 0.5000]], "m_tot_mub_per_fu": 1.54}

Entry b
{"formula": "LiSc5", "functional": "GGA-PBE", "state": "relaxed", "cell": [[2.8226, -4.8889, 0.0000], [2.8226, 4.8889, 0.0000], [0.0000, 0.0000, 5.1713]], "species": ["Li", "Sc", "Sc", "Sc", "Sc", "Sc"], "frac_coords": [[0.0000, 0.0000, 0.5000], [0.6725, 0.0000, 0.0000], [0.3275, 0.3275, 0.0000], [0.0000, 0.6725, 0.0000], [0.6667, 0.3333, 0.5000], [0.3333, 0.6667, 0.5000]], "m_tot_mub_per_fu": 2.58}

Entry c
{"formula": "LiSc5", "functional": "GGA-PBE", "state": "relaxed", "cell": [[3.4176, 0.0000, 0.0000], [0.0000, 5.0749, 0.0000], [0.0000, -2.5375, 8.0424]], "species": ["Sc", "Sc", "Sc", "Sc", "Sc", "Li"], "frac_coords": [[0.0000, 0.6867, 0.3735], [0.0000, 0.3133, 0.6265], [0.5000, 0.5000, 0.0000], [0.5000, 0.1431, 0.2862], [0.5000, 0.8569, 0.7138], [0.0000, 0.0000, 0.0000]], "m_tot_mub_per_fu": 0.00}

Computed relative energies in units of kJ/mol of atoms: entry a 1.9; entry b 5.3; entry c 0.0

Entry a
{"formula": "Li4Sc3", "functional": "GGA-PBE", "state": "relaxed", "cell": [[11.9563, 2.8583, -3.4506], [9.8464, 7.2128, -3.7487], [-10.3360, -4.6030, 5.9167]], "species": ["Li", "Li", "Li", "Li", "Sc", "Sc", "Sc"], "frac_coords": [[0.8686, 0.8686, 0.0000], [0.1314, 0.1314, 0.0000], [0.5753, 0.5753, 0.0000], [0.4247, 0.4247, 0.0000], [0.0000, 0.0000, 0.0000], [0.7097, 0.7097, 0.0000], [0.2903, 0.2903, 0.0000]], "m_tot_mub_per_fu": 0.44}

Entry b
{"formula": "Li4Sc3", "functional": "GGA-PBE", "state": "relaxed", "cell": [[2.9911, -5.1807, 0.0000], [2.9911, 5.1807, 0.0000], [0.0000, 0.0000, 5.3790]], "species": ["Li", "Li", "Li", "Li", "Sc", "Sc", "Sc"], "frac_coords": [[0.0000, 0.0000, 0.2594], [0.0000, 0.0000, 0.7406], [0.6667, 0.3333, 0.5000], [0.3333, 0.6667, 0.5000], [0.0000, 0.5000, 0.0000], [0.5000, 0.5000, 0.0000], [0.5000, 0.0000, 0.0000]], "m_tot_mub_per_fu": 0.00}

Computed relative energies in units of kJ/mol of atoms: entry a 0.0; entry b 17.6

Entry a
{"formula": "LiSc4", "functional": "GGA-PBE", "state": "relaxed", "cell": [[4.9741, 0.0000, 0.0000], [0.0000, 4.9741, 0.0000], [0.0000, 0.0000, 4.9741]], "species": ["Sc", "Sc", "Sc", "Sc", "Li"], "frac_coords": [[0.0000, 0.0000, 0.0000], [0.5000, 0.0000, 0.5000], [0.0000, 0.5000, 0.5000], [0.5000, 0.5000, 0.0000], [0.5000, 0.5000, 0.5000]], "m_tot_mub_per_fu": 0.00}

Entry b
{"formula": "LiSc4", "functional": "GGA-PBE", "state": "relaxed", "cell": [[-3.1793, 3.1793, 3.1793], [3.1793, -3.1793, 3.1793], [3.1793, 3.1793, -3.1793]], "species": ["Li", "Sc", "Sc", "Sc", "Sc"], "frac_coords": [[0.0000, 0.0000, 0.0000], [0.5000, 0.0000, 0.0000], [0.5000, 0.5000, 0.5000], [0.0000, 0.5000, 0.0000], [0.0000, 0.0000, 0.5000]], "m_tot_mub_per_fu": 2.85}

Computed relative energies in units of kJ/mol of atoms: entry a 0.0; entry b 18.1

Entry a
{"formula": "Li4Sc", "functional": "GGA-PBE", "state": "relaxed", "cell": [[-3.3978, 3.3978, 3.3978], [3.3978, -3.3978, 3.3978], [3.3978, 3.3978, -3.3978]], "species": ["Li", "Li", "Li", "Li", "Sc"], "frac_coords": [[0.5000, 0.0000, 0.0000], [0.5000, 0.5000, 0.5000], [0.0000, 0.5000, 0.0000], [0.0000, 0.0000, 0.5000], [0.0000, 0.0000, 0.0000]], "m_tot_mub_per_fu": 1.50}

Entry b
{"formula": "Li4Sc", "functional": "GGA-PBE", "state": "relaxed", "cell": [[-2.2204, 3.2928, 3.7396], [-1.6105, -4.3486, 2.8728], [4.7152, 0.0653, 2.7422]], "species": ["Sc", "Li", "Li", "Li", "Li"], "frac_coords": [[0.5000, 0.5000, 0.5000], [0.0000, 0.0000, 0.0000], [0.5000, 0.0000, 0.5000], [0.0000, 0.5000, 0.5000], [0.5000, 0.5000, 0.0000]], "m_tot_mub_per_fu": 1.39}

Computed relative energies in units of kJ/mol of atoms: entry a 0.0; entry b 10.0

Entry a
{"formula": "Li5Sc", "functional": "GGA-PBE", "state": "relaxed", "cell": [[2.5792, -7.6463, 0.0000], [2.5792, 7.6463, 0.0000], [0.0000, 0.0000, 3.1232]], "species": ["Li", "Li", "Li", "Li", "Li", "Sc"], "frac_coords": [[0.3202, 0.6798, 0.5000], [0.1529, 0.8471, 0.0000], [0.0000, 0.0000, 0.5000], [0.8471, 0.1529, 0.0000], [0.6798, 0.3202, 0.5000], [0.5000, 0.5000, 0.0000]], "m_tot_mub_per_fu": 0.00}

Entry b
{"formula": "Li5Sc", "functional": "GGA-PBE", "state": "relaxed", "cell": [[-3.7790, -1.4503, -3.4524], [2.7306, -3.7060, 2.6670], [-3.3482, 0.1309, 3.6099]], "species": ["Li", "Li", "Li", "Li", "Li", "Sc"], "frac_coords": [[0.6349, 0.0000, 0.0000], [0.3651, 0.3651, 0.0000], [0.0000, 0.6349, 0.0000], [0.6667, 0.3333, 0.5000], [0.3333, 0.6667, 0.5000], [0.0000, 0.0000, 0.5000]], "m_tot_mub_per_fu": 0.00}

Computed relative energies in units of kJ/mol of atoms: entry a 0.0; entry b 3.7

Entry a
{"formula": "Li5Sc", "functional": "GGA-PBE", "state": "relaxed", "cell": [[0.0000, 3.9288, 3.9288], [3.9288, 0.0000, 3.9288], [3.9288, 3.9288, 0.0000]], "species": ["Li", "Li", "Li", "Li", "Li", "Sc"], "frac_coords": [[0.2500, 0.2500, 0.2500], [0.6248, 0.6248, 0.6248], [0.6248, 0.6248, 0.1255], [0.1255, 0.6248, 0.6248], [0.6248, 0.1255, 0.6248], [0.0000, 0.0000, 0.0000]], "m_tot_mub_per_fu": 0.79}

Entry b
{"formula": "Li5Sc", "functional": "GGA-PBE", "state": "relaxed", "cell": [[3.9266, -3.4933, 2.5249], [5.2309, -0.7512, 2.4637], [-0.8628, 0.5786, 7.5357]], "species": ["Li", "Li", "Li", "Li", "Li", "Sc"], "frac_coords": [[0.0047, 0.0047, 0.0268], [0.3239, 0.3239, 0.3440], [0.6451, 0.6451, 0.6847], [0.6195, 0.6195, 0.2706], [0.9461, 0.9461, 0.5789], [0.2940, 0.2940, 0.9283]], "m_tot_mub_per_fu": 0.00}

Computed relative energies in units of kJ/mol of atoms: entry a 4.8; entry b 0.0

Entry a
{"formula": "LiScSe3", "functional": "GGA-PBE", "state": "relaxed", "cell": [[4.6805, 0.0000, 0.0000], [0.0000, 4.6805, 0.0000], [0.0000, 0.0000, 4.6805]], "species": ["Sc", "Se", "Se", "Se", "Li"], "frac_coords": [[0.5000, 0.5000, 0.5000], [0.0000, 0.5000, 0.0000], [0.0000, 0.0000, 0.5000], [0.5000, 0.0000, 0.0000], [0.0000, 0.0000, 0.0000]], "m_tot_mub_per_fu": 0.00}

Entry b
{"formula": "LiScSe3", "functional": "GGA-PBE", "state": "relaxed", "cell": [[5.1966, 0.0000, 0.0000], [0.0000, 5.1966, 0.0000], [0.0000, 0.0000, 5.1966]], "species": ["Sc", "Se", "Se", "Se", "Li"], "frac_coords": [[0.0000, 0.0000, 0.0000], [0.0000, 0.5000, 0.0000], [0.0000, 0.0000, 0.5000], [0.5000, 0.0000, 0.0000], [0.5000, 0.5000, 0.5000]], "m_tot_mub_per_fu": 0.00}

Computed relative energies in units of kJ/mol of atoms: entry a 37.3; entry b 0.0

Entry a
{"formula": "Li3ScSe", "functional": "GGA-PBE", "state": "relaxed", "cell": [[-1.7455, 4.4957, -0.0027], [-3.5405, -1.3764, -2.9713], [-2.7706, -1.0734, 3.7986]], "species": ["Sc", "Se", "Li", "Li", "Li"], "frac_coords": [[0.5000, 0.5000, 0.5000], [0.0000, 0.0000, 0.0000], [0.0000, 0.5000, 0.0000], [0.0000, 0.0000, 0.5000], [0.5000, 0.0000, 0.0000]], "m_tot_mub_per_fu": 1.89}

Entry b
{"formula": "Li3ScSe", "functional": "GGA-PBE", "state": "relaxed", "cell": [[-2.4522, -2.5122, 3.9198], [-3.3358, -2.1425, -3.4600], [3.2478, -4.0974, -0.5941]], "species": ["Sc", "Se", "Li", "Li", "Li"], "frac_coords": [[0.0000, 0.0000, 0.0000], [0.5000, 0.5000, 0.5000], [0.0000, 0.5000, 0.0000], [0.0000, 0.0000, 0.5000], [0.5000, 0.0000, 0.0000]], "m_tot_mub_per_fu": 2.00}

Computed relative energies in units of kJ/mol of atoms: entry a 0.0; entry b 95.6

Entry a
{"formula": "Li2ScSe2", "functional": "GGA-PBE", "state": "relaxed", "cell": [[-2.1713, -2.8454, -1.6603], [3.6017, 0.8012, -1.3975], [3.2813, -3.5667, 6.4662]], "species": ["Li", "Li", "Sc", "Se", "Se"], "frac_coords": [[0.4499, 0.2235, 0.6734], [0.5501, 0.7765, 0.3266], [0.0000, 0.0000, 0.0000], [0.8053, 0.4035, 0.2088], [0.1947, 0.5965, 0.7912]], "m_tot_mub_per_fu": 0.00}

Entry b
{"formula": "Li2ScSe2", "functional": "GGA-PBE", "state": "relaxed", "cell": [[-3.7262, -0.3599, -6.2062], [2.9560, -6.4679, -1.3997], [-2.8417, -1.6891, 1.8041]], "species": ["Sc", "Sc", "Se", "Se", "Se", "Se", "Li", "Li", "Li", "Li"], "frac_coords": [[0.0000, 0.0000, 0.0000], [0.5000, 0.5000, 0.0000], [0.3238, 0.8238, 0.0000], [0.8238, 0.6762, 0.0000], [0.6762, 0.1762, 0.0000], [0.1762, 0.3238, 0.0000], [0.1373, 0.6373, 0.5000], [0.6373, 0.8627, 0.5000], [0.8627, 0.3627, 0.5000], [0.3627, 0.1373, 0.5000]], "m_tot_mub_per_fu": 1.00}

Computed relative energies in units of kJ/mol of atoms: entry a 0.0; entry b 10.9